Entry 1:
## Tm8Os2Ru (PBE)

Data for a relaxed Tm8Os2Ru crystal.

Summary:
For the energy relative to the lowest polymorph listed for this composition, the calculation gives 0.635 eV/f.u.

a = 7.483 Å, b = 7.483 Å, c = 5.628 Å
α = 100.42°, β = 100.42°, γ = 112.91°
Element x y z (fractional)
Tm 0.000 0.000 0.000
Tm 0.025 0.283 0.590
Tm 0.142 0.570 0.189
Tm 0.283 0.025 0.590
Tm 0.432 0.690 0.785
Tm 0.570 0.142 0.189
Tm 0.690 0.432 0.785
Tm 0.717 0.717 0.381
Os 0.049 0.669 0.692
Os 0.669 0.049 0.692
Ru 0.358 0.358 0.223


Entry 2:
## Tm2Os3Ru (PBE)

Data for a relaxed Tm2Os3Ru crystal.

a = 5.370 Å, b = 5.370 Å, c = 5.370 Å
α = 58.74°, β = 58.74°, γ = 58.74°
Element x y z (fractional)
Tm 0.124 0.124 0.124
Tm 0.876 0.876 0.876
Os 0.000 0.500 0.500
Os 0.500 0.000 0.500
Os 0.500 0.500 0.000
Ru 0.500 0.500 0.500


Entry 3:
## TmOsRuW (PBE)

Data for a relaxed TmOsRuW crystal.

a = 6.445 Å, b = 6.445 Å, c = 6.445 Å
α = 90.00°, β = 90.00°, γ = 90.00°
Element x y z (fractional)
Tm 0.000 0.000 0.000
Tm 0.000 0.500 0.500
Tm 0.500 0.000 0.500
Tm 0.500 0.500 0.000
Os 0.250 0.250 0.750
Os 0.250 0.750 0.250
Os 0.750 0.250 0.250
Os 0.750 0.750 0.750
Ru 0.250 0.250 0.250
Ru 0.250 0.750 0.750
Ru 0.750 0.250 0.750
Ru 0.750 0.750 0.250
W 0.000 0.000 0.500
W 0.000 0.500 0.000
W 0.500 0.000 0.000
W 0.500 0.500 0.500


Entry 4:
## UOsRu2 (PBE)

Data for a relaxed UOsRu2 crystal.

Summary:
For the energy relative to the lowest polymorph listed for this composition, the calculation gives 0.000 eV/f.u.

a = 5.654 Å, b = 8.046 Å, c = 5.658 Å
α = 90.00°, β = 90.00°, γ = 90.00°
Element x y z (fractional)
U 0.000 0.000 0.000
U 0.000 0.500 0.000
U 0.500 0.000 0.500
U 0.500 0.500 0.500
Os 0.250 0.250 0.250
Os 0.250 0.750 0.750
Os 0.750 0.250 0.250
Os 0.750 0.750 0.750
Ru 0.000 0.000 0.500
Ru 0.000 0.500 0.500
Ru 0.250 0.250 0.750
Ru 0.250 0.750 0.250
Ru 0.500 0.000 0.000
Ru 0.500 0.500 0.000
Ru 0.750 0.250 0.750
Ru 0.750 0.750 0.250


Entry 5:
## UOsRu2 (PBE)

Data for a relaxed UOsRu2 crystal.

Summary:
For the energy relative to the lowest polymorph listed for this composition, the calculation gives 1.959 eV/f.u.

a = 2.774 Å, b = 2.774 Å, c = 28.449 Å
α = 90.00°, β = 90.00°, γ = 120.00°
Element x y z (fractional)
U 0.000 0.000 0.000
U 0.333 0.667 0.667
U 0.667 0.333 0.333
Os 0.000 0.000 0.500
Os 0.333 0.667 0.167
Os 0.667 0.333 0.833
Ru 0.000 0.000 0.243
Ru 0.000 0.000 0.757
Ru 0.333 0.667 0.424
Ru 0.333 0.667 0.909
Ru 0.667 0.333 0.091
Ru 0.667 0.333 0.576


Entry 6:
## U2OsRu5 (PBE)

Data for a relaxed U2OsRu5 crystal.

a = 5.663 Å, b = 11.327 Å, c = 4.002 Å
α = 90.00°, β = 90.00°, γ = 90.00°
Element x y z (fractional)
U 0.244 0.127 0.000
U 0.256 0.627 0.000
U 0.744 0.373 0.000
U 0.756 0.873 0.000
Os 0.000 0.500 0.500
Os 0.500 0.000 0.500
Ru 0.000 0.000 0.500
Ru 0.005 0.749 0.500
Ru 0.245 0.377 0.000
Ru 0.255 0.877 0.000
Ru 0.495 0.249 0.500
Ru 0.500 0.500 0.500
Ru 0.505 0.751 0.500
Ru 0.745 0.123 0.000
Ru 0.755 0.623 0.000
Ru 0.995 0.251 0.500


Raw total energy (computed, eV/atom): -6.38; -8.99; -9.50; -10.54; -10.05; -10.31
Calculated formation energy (computed, meV per atom): -238; -334; -17; -277; 213; -289